DFT (PBE) results for a relaxed CsKRb2Zn crystal.

abc: 7.199 7.199 7.402
angles: 90.00 90.00 90.00
Space group P4/mmm (No. 123)
Inequivalent atoms, fractional coordinates:
1 Cs 0.000 0.000 0.000
2 K 0.500 0.500 0.000
3 Rb 0.000 0.500 0.500
4 Zn 0.000 0.000 0.500

Values from the calculation:
- Energy relative to the elements: 106.9 meV/atom
- Fermi-level density of states: 0.868 states/eV per atom
- Calculated total energy: -0.9251 eV/atom